one) A plane-wave DFT calculation with PBE was carried out for a geometry-optimized Li2LaSc2 structure.

Calculated values
* total magnetic moment: 0.000 μB/atom
* space-group type: No. 127
* density of states at the Fermi level: 5.27 states/eV/f.u.

abc: 8.225 8.225 3.590
angles: 90.00 90.00 90.00
Fractional positions:
Sc: 0.166 0.666 0.500
Sc: 0.666 0.834 0.500
Sc: 0.834 0.334 0.500
Sc: 0.334 0.166 0.500
Li: 0.372 0.872 0.000
Li: 0.872 0.628 0.000
Li: 0.628 0.128 0.000
Li: 0.128 0.372 0.000
La: 0.000 0.000 0.000
La: 0.500 0.500 0.000

two) A plane-wave DFT calculation with PBE was carried out for a geometry-optimized Li2LaSc2 structure.

Calculated values
* total magnetic moment: 0.000 μB/atom
* space-group type: No. 139
* density of states at the Fermi level: 7.17 states/eV/f.u.

abc: 4.175 4.175 8.141
angles: 75.14 75.14 90.00
Fractional positions:
Sc: 0.396 0.396 0.207
Sc: 0.604 0.604 0.793
Li: 0.750 0.250 0.500
Li: 0.250 0.750 0.500
La: 0.000 0.000 0.000

Relative stability in meV/atom, measured from the most stable structure: one) 0; two) 96

one) A plane-wave DFT calculation with PBE was carried out for a geometry-optimized LiLaSc structure.

Calculated values
* total magnetic moment: 0.001 μB/atom
* space-group type: No. 216
* density of states at the Fermi level: 5.37 states/eV/f.u.

abc: 5.012 5.012 5.012
angles: 60.00 60.00 60.00
Fractional positions:
La: 0.500 0.500 0.500
Li: 0.250 0.250 0.250
Sc: 0.000 0.000 0.000

two) A plane-wave DFT calculation with PBE was carried out for a geometry-optimized LiLaSc structure.

Calculated values
* total magnetic moment: 0.000 μB/atom
* space-group type: No. 216
* density of states at the Fermi level: 4.14 states/eV/f.u.

abc: 7.120 7.120 7.120
angles: 90.00 90.00 90.00
Fractional positions:
Sc: 0.250 0.250 0.250
Sc: 0.750 0.750 0.250
Sc: 0.750 0.250 0.750
Sc: 0.250 0.750 0.750
Li: 0.500 0.000 0.000
Li: 0.000 0.500 0.000
Li: 0.000 0.000 0.500
Li: 0.500 0.500 0.500
La: 0.000 0.000 0.000
La: 0.500 0.500 0.000
La: 0.500 0.000 0.500
La: 0.000 0.500 0.500

Relative stability in meV/atom, measured from the most stable structure: one) 0; two) 178

one) A plane-wave DFT calculation with PBE was carried out for a geometry-optimized LiLaSc structure.

Calculated values
* total magnetic moment: 0.000 μB/atom
* space-group type: No. 42
* density of states at the Fermi level: 4.54 states/eV/f.u.

abc: 8.806 8.538 3.321
angles: 83.54 74.45 22.01
Fractional positions:
La: 0.002 0.002 0.998
Li: 0.326 0.326 0.674
Sc: 0.672 0.672 0.328

two) A plane-wave DFT calculation with PBE was carried out for a geometry-optimized LiLaSc structure.

Calculated values
* total magnetic moment: 0.003 μB/atom
* space-group type: No. 216
* density of states at the Fermi level: 4.23 states/eV/f.u.

abc: 5.071 5.071 5.071
angles: 60.00 60.00 60.00
Fractional positions:
La: 0.250 0.250 0.250
Li: 0.000 0.000 0.000
Sc: 0.500 0.500 0.500

three) A plane-wave DFT calculation with PBE was carried out for a geometry-optimized LiLaSc structure.

Calculated values
* total magnetic moment: 0.178 μB/atom
* space-group type: No. 156
* density of states at the Fermi level: 3.34 states/eV/f.u.

abc: 3.436 3.436 8.198
angles: 90.00 90.00 120.00
Last column: magnetic moment on the atom in μB.
Fractional positions:
La: 0.000 0.000 0.993  0.01
Li: 0.667 0.333 0.348  0.01
Sc: 0.333 0.667 0.658  0.27

Relative stability in meV/atom, measured from the most stable structure: one) 42; two) 696; three) 0

one) A plane-wave DFT calculation with PBE was carried out for a geometry-optimized LiLaSc structure.

Calculated values
* total magnetic moment: 0.000 μB/atom
* space-group type: No. 107
* density of states at the Fermi level: 3.51 states/eV/f.u.

abc: 6.462 6.462 6.462
angles: 146.93 146.93 47.47
Fractional positions:
La: 0.995 0.995 0.000
Li: 0.318 0.318 0.000
Sc: 0.687 0.687 0.000

two) A plane-wave DFT calculation with PBE was carried out for a geometry-optimized LiLaSc structure.

Calculated values
* total magnetic moment: 0.000 μB/atom
* space-group type: No. 11
* density of states at the Fermi level: 4.38 states/eV/f.u.

abc: 3.500 5.447 9.472
angles: 107.00 111.67 90.02
Fractional positions:
Li: 0.119 0.440 0.370
Li: 0.881 0.560 0.630
La: 0.561 0.910 0.311
La: 0.439 0.090 0.689
Sc: 0.704 0.727 0.954
Sc: 0.296 0.273 0.046

Relative stability in meV/atom, measured from the most stable structure: one) 18; two) 0